Entry from Alexandria via LeMat-Bulk: crystalline MgCrAu3 at its relaxed geometry (PBE).

Cell lengths 4.950, 4.950, 4.950 Å; angles 90.00, 90.00, 90.00 degrees
Space group Pm-3m (No. 221)
One atom of each set of equivalent atoms:
Mg 0.000 0.000 0.000 [1 per cell]
Cr 0.500 0.500 0.500 [1 per cell]
Au 0.000 0.500 0.500 [3 per cell]

Results
- E above lowest polymorph: 0.000 eV per formula unit